Record 1
Entry from Alexandria via LeMat-Bulk: an optimized crystal structure of RbSi2HPd (PBE).

Cell and atoms, written as POSCAR:
```
RbSi2HPd
1.0
6.572 0.000 0.000
0.000 6.572 0.000
0.000 0.000 5.607
Rb Si H Pd
1 2 1 1
direct
0.000 0.000 0.000 Rb
0.000 0.500 0.000 Si
0.500 0.000 0.000 Si
0.500 0.500 0.500 H
0.000 0.000 0.500 Pd
```

Its space group is No. 123.

***

Record 2
Entry from Alexandria via LeMat-Bulk: an optimized crystal structure of RbTa2HPd (PBE).

Cell and atoms, written as POSCAR:
```
RbTa2HPd
1.0
4.073 0.000 0.000
0.000 4.073 0.000
0.000 0.000 5.459
Rb Ta H Pd
1 2 1 1
direct
0.000 0.000 0.000 Rb
0.000 0.500 0.500 Ta
0.500 0.000 0.500 Ta
0.000 0.000 0.500 H
0.500 0.500 0.000 Pd
```

Its space group is No. 123.

***

Record 3
Entry from Alexandria via LeMat-Bulk: an optimized crystal structure of RbTlH2Pd (PBE).

Cell and atoms, written as POSCAR:
```
RbTlH2Pd
1.0
2.064 -6.526 0.000
2.064 6.526 0.000
0.000 0.000 7.678
Rb Tl H Pd
2 2 4 2
direct
0.231 0.769 0.750 Rb
0.769 0.231 0.250 Rb
0.029 0.971 0.250 Tl
0.971 0.029 0.750 Tl
0.372 0.628 0.039 H
0.372 0.628 0.461 H
0.628 0.372 0.539 H
0.628 0.372 0.961 H
0.500 0.500 0.000 Pd
0.500 0.500 0.500 Pd
```

Its space group is No. 63.

***

Record 4
Entry from Alexandria via LeMat-Bulk: an optimized crystal structure of Rb2Tl2H4Pd (PBE).

Cell and atoms, written as POSCAR:
```
Rb2Tl2H4Pd
1.0
-3.481 3.481 4.219
3.481 -3.481 4.219
3.481 3.481 -4.219
Rb Tl H Pd
2 2 4 1
direct
0.250 0.750 0.500 Rb
0.750 0.250 0.500 Rb
0.173 0.173 0.000 Tl
0.827 0.827 0.000 Tl
0.327 0.327 0.653 H
0.327 0.673 0.000 H
0.673 0.327 0.000 H
0.673 0.673 0.347 H
0.500 0.500 0.000 Pd
```

Its space group is No. 139.

***

| no. | final energy (eV per atom) | total magnetization (μB per cell) |
| --- | --- | --- |
| 1 | -1.66 | 4.6 |
| 2 | -5.72 | 0.0 |
| 3 | -3.21 | 0.0 |
| 4 | -2.79 | 0.0 |